[1]
Computed, not measured: an optimized crystal structure of LaMoBrO4 at the PBE+U level of DFT.

V   288.0 Å³ per cell
Excess energy over the best structure of this formula in the dataset   0 meV/atom
Total energy   -98.450 eV per cell
Total moment   0.00 μB per cell

Unit cell a=6.6467 b=6.6467 c=7.2137 alpha=103.06 beta=103.06 gamma=70.06
Closest atoms and distances in Å follow each position.
Fractional positions:
La  0.2305  0.2305  0.1277  4 O 2.45-2.47
La  0.7695  0.7695  0.8723  4 O 2.45-2.47
Mo  0.3641  0.3641  0.7360  4 O 1.78-1.82
Mo  0.6359  0.6359  0.2640  4 O 1.78-1.82
Br  0.0163  0.0163  0.7555  2 La 3.03, 3 O 3.36-3.37
Br  0.9837  0.9837  0.2445  2 La 3.03, 3 O 3.36-3.37
O  0.1251  0.4927  0.8520  1 Mo 1.82
O  0.2965  0.2965  0.4816  1 Mo 1.78
O  0.4661  0.4661  0.2102  1 Mo 1.78
O  0.4927  0.1251  0.8520  1 Mo 1.82
O  0.5073  0.8749  0.1480  1 Mo 1.82
O  0.5339  0.5339  0.7898  1 Mo 1.78
O  0.7035  0.7035  0.5184  1 Mo 1.78
O  0.8749  0.5073  0.1480  1 Mo 1.82

---

[2]
Computed, not measured: an optimized crystal structure of LaMoBrO4 at the PBE+U level of DFT.

V   483.7 Å³ per cell
Excess energy over the best structure of this formula in the dataset   12 meV/atom
Total energy   -196.565 eV per cell
Total moment   0.00 μB per cell

Unit cell a=10.0009 b=6.0254 c=8.0266 alpha=90.00 beta=90.06 gamma=90.00
Closest atoms and distances in Å follow each position.
Fractional positions:
La  0.0000  0.0529  0.0000  6 O 2.51-2.59
La  0.0000  0.9471  0.5000  6 O 2.51-2.59
La  0.5609  0.4465  0.7512  6 O 2.51-2.60
La  0.5609  0.5535  0.2512  6 O 2.51-2.60
Mo  0.1373  0.4942  0.2210  4 O 1.77-1.84
Mo  0.1373  0.5058  0.7210  4 O 1.77-1.84
Mo  0.4236  0.0035  0.9709  4 O 1.77-1.85
Mo  0.4236  0.9965  0.4709  4 O 1.77-1.85
Br  0.7598  0.0065  0.7522  3 La 3.13-3.31, 4 O 3.24-3.49
Br  0.7598  0.9935  0.2522  3 La 3.13-3.31, 4 O 3.24-3.49
Br  0.8012  0.4930  0.0032  3 La 3.14-3.31, 4 O 3.25-3.47
Br  0.8012  0.5070  0.5032  3 La 3.14-3.31, 4 O 3.25-3.47
O  0.0525  0.2366  0.2842  1 Mo 1.84
O  0.0525  0.7634  0.7842  1 Mo 1.84
O  0.0566  0.2308  0.7236  1 Mo 1.84
O  0.0566  0.7692  0.2236  1 Mo 1.84
O  0.1235  0.4308  0.0000  1 Mo 1.82
O  0.1235  0.5692  0.5000  1 Mo 1.82
O  0.2487  0.0090  0.5026  1 Mo 1.77
O  0.2487  0.9910  0.0026  1 Mo 1.77
O  0.3122  0.4960  0.2546  1 Mo 1.77
O  0.3122  0.5040  0.7546  1 Mo 1.77
O  0.4380  0.0682  0.7502  1 Mo 1.82
O  0.4380  0.9318  0.2502  1 Mo 1.82
O  0.5051  0.2632  0.0353  1 Mo 1.84
O  0.5051  0.7368  0.5353  1 Mo 1.84
O  0.5073  0.2696  0.4743  1 Mo 1.85
O  0.5073  0.7304  0.9743  1 Mo 1.85

---

Copy entry 1 word for word.
Computed, not measured: an optimized crystal structure of LaMoBrO4 at the PBE+U level of DFT.

V   288.0 Å³ per cell
Excess energy over the best structure of this formula in the dataset   0 meV/atom
Total energy   -98.450 eV per cell
Total moment   0.00 μB per cell

Unit cell a=6.6467 b=6.6467 c=7.2137 alpha=103.06 beta=103.06 gamma=70.06
Closest atoms and distances in Å follow each position.
Fractional positions:
La  0.2305  0.2305  0.1277  4 O 2.45-2.47
La  0.7695  0.7695  0.8723  4 O 2.45-2.47
Mo  0.3641  0.3641  0.7360  4 O 1.78-1.82
Mo  0.6359  0.6359  0.2640  4 O 1.78-1.82
Br  0.0163  0.0163  0.7555  2 La 3.03, 3 O 3.36-3.37
Br  0.9837  0.9837  0.2445  2 La 3.03, 3 O 3.36-3.37
O  0.1251  0.4927  0.8520  1 Mo 1.82
O  0.2965  0.2965  0.4816  1 Mo 1.78
O  0.4661  0.4661  0.2102  1 Mo 1.78
O  0.4927  0.1251  0.8520  1 Mo 1.82
O  0.5073  0.8749  0.1480  1 Mo 1.82
O  0.5339  0.5339  0.7898  1 Mo 1.78
O  0.7035  0.7035  0.5184  1 Mo 1.78
O  0.8749  0.5073  0.1480  1 Mo 1.82

---

Question: Number 1 is which compound?
Answer: LaMoBrO4

---

Copy entry 1 word for word.
Computed, not measured: an optimized crystal structure of LaMoBrO4 at the PBE+U level of DFT.

V   288.0 Å³ per cell
Excess energy over the best structure of this formula in the dataset   0 meV/atom
Total energy   -98.450 eV per cell
Total moment   0.00 μB per cell

Unit cell a=6.6467 b=6.6467 c=7.2137 alpha=103.06 beta=103.06 gamma=70.06
Closest atoms and distances in Å follow each position.
Fractional positions:
La  0.2305  0.2305  0.1277  4 O 2.45-2.47
La  0.7695  0.7695  0.8723  4 O 2.45-2.47
Mo  0.3641  0.3641  0.7360  4 O 1.78-1.82
Mo  0.6359  0.6359  0.2640  4 O 1.78-1.82
Br  0.0163  0.0163  0.7555  2 La 3.03, 3 O 3.36-3.37
Br  0.9837  0.9837  0.2445  2 La 3.03, 3 O 3.36-3.37
O  0.1251  0.4927  0.8520  1 Mo 1.82
O  0.2965  0.2965  0.4816  1 Mo 1.78
O  0.4661  0.4661  0.2102  1 Mo 1.78
O  0.4927  0.1251  0.8520  1 Mo 1.82
O  0.5073  0.8749  0.1480  1 Mo 1.82
O  0.5339  0.5339  0.7898  1 Mo 1.78
O  0.7035  0.7035  0.5184  1 Mo 1.78
O  0.8749  0.5073  0.1480  1 Mo 1.82